Record 1
Density functional theory data (PBE-GGA) for a relaxed AgHg2Os crystal.

Values from the calculation:
distance to the lowest polymorph of the same formula	80	meV/atom
crystal system	orthorhombic
formation energy	663	meV/atom
D(E_F)	0.6927	states/eV per atom

Cell lengths 2.925, 2.925, 10.255 Å; angles 90.00, 90.00, 119.69 degrees
Fractional positions:
Ag (0.000, 0.000, 0.000)
Hg (0.000, 0.000, 0.528)
Hg (0.500, 0.500, 0.251)
Os (0.500, 0.500, 0.770)

Record 2
Density functional theory data (PBE-GGA) for a relaxed K3Ag2RhF9 crystal.

Values from the calculation:
uncorrected formation energy	-1.939	eV per atom
crystal system	trigonal
D(E_F)	0.9887	states/eV per atom

Cell lengths 6.245, 6.245, 7.588 Å; angles 90.00, 90.00, 120.00 degrees
Fractional positions:
K (0.000, 0.000, 0.000)
K (0.333, 0.667, 0.709)
K (0.667, 0.333, 0.291)
Ag (0.333, 0.667, 0.179)
Ag (0.667, 0.333, 0.821)
Rh (0.000, 0.000, 0.500)
F (0.000, 0.500, 0.000)
F (0.151, 0.302, 0.345)
F (0.151, 0.849, 0.345)
F (0.302, 0.151, 0.655)
F (0.500, 0.000, 0.000)
F (0.500, 0.500, 0.000)
F (0.698, 0.849, 0.345)
F (0.849, 0.151, 0.655)
F (0.849, 0.698, 0.655)

Record 3
Density functional theory data (PBE-GGA) for a relaxed CsScCuBr5 crystal.

Values from the calculation:
uncorrected formation energy	-1.351	eV per atom
crystal system	monoclinic

Cell lengths 7.775, 7.775, 10.235 Å; angles 103.44, 103.44, 105.74 degrees
Fractional positions:
Cs (0.154, 0.846, 0.750)
Cs (0.846, 0.154, 0.250)
Sc (0.500, 0.500, 0.000)
Sc (0.500, 0.500, 0.500)
Cu (0.191, 0.809, 0.250)
Cu (0.809, 0.191, 0.750)
Br (0.133, 0.284, 0.924)
Br (0.207, 0.603, 0.400)
Br (0.284, 0.133, 0.424)
Br (0.397, 0.793, 0.100)
Br (0.438, 0.562, 0.750)
Br (0.562, 0.438, 0.250)
Br (0.603, 0.207, 0.900)
Br (0.716, 0.867, 0.576)
Br (0.793, 0.397, 0.600)
Br (0.867, 0.716, 0.076)

Record 4
Density functional theory data (PBE-GGA) for a relaxed Li5Mg4Pd crystal.

Values from the calculation:
distance to the lowest polymorph of the same formula	0	meV/atom
crystal system	monoclinic
formation energy	-189	meV/atom
D(E_F)	0.4045	states/eV per atom

Cell lengths 7.394, 7.394, 5.863 Å; angles 105.60, 105.60, 37.04 degrees
Fractional positions:
Li (0.000, 0.000, 0.000)
Li (0.191, 0.191, 0.300)
Li (0.401, 0.401, 0.094)
Li (0.599, 0.599, 0.906)
Li (0.809, 0.809, 0.700)
Mg (0.194, 0.194, 0.792)
Mg (0.407, 0.407, 0.586)
Mg (0.593, 0.593, 0.414)
Mg (0.806, 0.806, 0.208)
Pd (0.000, 0.000, 0.500)

Record 5
Density functional theory data (PBE-GGA) for a relaxed Mg2Sn4Pd crystal.

Values from the calculation:
crystal system	tetragonal
formation energy	121	meV/atom
D(E_F)	0.7108	states/eV per atom

Cell lengths 8.023, 8.023, 8.023 Å; angles 141.19, 141.19, 56.05 degrees
Fractional positions:
Mg (0.113, 0.113, 0.000)
Mg (0.887, 0.887, 0.000)
Sn (0.000, 0.500, 0.500)
Sn (0.312, 0.312, 0.000)
Sn (0.500, 0.000, 0.500)
Sn (0.688, 0.688, 0.000)
Pd (0.500, 0.500, 0.000)

Record 6
Density functional theory data (PBE-GGA) for a relaxed Pu2Pa2CoSi4 crystal.

Values from the calculation:
uncorrected formation energy	-0.256	eV per atom
crystal system	tetragonal
D(E_F)	1.8986	states/eV per atom

Cell lengths 6.185, 6.185, 6.185 Å; angles 114.87, 114.87, 99.15 degrees
Fractional positions:
Pu (0.181, 0.181, 0.000)
Pu (0.819, 0.819, 0.000)
Pa (0.250, 0.750, 0.500)
Pa (0.750, 0.250, 0.500)
Co (0.500, 0.500, 0.000)
Si (0.264, 0.264, 0.528)
Si (0.264, 0.736, 0.000)
Si (0.736, 0.264, 0.000)
Si (0.736, 0.736, 0.472)